Density functional theory data (GGA-PBE) for a relaxed CsYCoTe3 crystal.

Properties
E, eV per atom: -4.84
ρ, g/cm³: 5.2
Symmetry: No. 62
Energy above the most stable polymorph in this dataset, eV/f.u.: 0.11

The structure in POSCAR format:
```
CsYCoTe3
1.0
-1.254 -11.406 1.590
3.567 -0.051 2.446
-9.371 2.945 13.732
Te Cs Co Y
12 4 4 4
direct
0.254 0.000 0.694
0.567 0.500 0.633
0.746 0.500 0.306
0.433 0.000 0.367
0.064 0.000 0.375
0.933 0.000 0.133
0.754 0.000 0.806
0.436 0.500 0.875
0.067 0.500 0.867
0.936 0.500 0.625
0.564 0.000 0.125
0.246 0.500 0.194
0.757 0.500 0.991
0.743 0.000 0.491
0.243 0.000 0.009
0.257 0.500 0.509
0.755 0.500 0.716
0.745 0.000 0.216
0.245 0.000 0.284
0.255 0.500 0.784
0.001 0.000 0.746
0.501 0.000 0.754
0.499 0.500 0.246
0.999 0.500 0.254
```

Density functional theory data (GGA-PBE) for a relaxed Al2TcW crystal.

Properties
E, eV per atom: -7.86
ρ, g/cm³: 9.4
Symmetry: No. 216
Energy above the most stable polymorph in this dataset, eV/f.u.: 0.62

The structure in POSCAR format:
```
Al2TcW
1.0
-3.748 1.128 1.952
-0.045 0.938 4.272
-0.620 4.121 1.328
Tc Al W
1 2 1
direct
0.250 0.250 0.250
0.000 0.000 0.000
0.750 0.750 0.750
0.500 0.500 0.500
```

Density functional theory data (GGA-PBE) for a relaxed BaPmZr crystal.

Properties
E, eV per atom: -4.07
ρ, g/cm³: 5.0
Symmetry: No. 216
Energy above the most stable polymorph in this dataset, eV/f.u.: 0.00

The structure in POSCAR format:
```
BaPmZr
1.0
1.947 3.053 4.262
-2.957 4.348 1.905
-2.480 -0.283 5.005
Zr Ba Pm
1 1 1
direct
0.000 0.000 0.000
0.250 0.250 0.250
0.750 0.750 0.750
```

Density functional theory data (GGA-PBE) for a relaxed PmNdSm crystal.

Properties
E, eV per atom: -4.04
ρ, g/cm³: 6.1
Symmetry: No. 216
Energy above the most stable polymorph in this dataset, eV/f.u.: 0.00
Formation energy, eV per atom: 0.70

The structure in POSCAR format:
```
PmNdSm
1.0
-4.594 0.334 3.065
-1.438 4.816 2.314
-4.394 2.777 -1.895
Nd Sm Pm
1 1 1
direct
0.250 0.250 0.250
0.000 0.000 0.000
0.750 0.750 0.750
```

Density functional theory data (GGA-PBE) for a relaxed FeSbPt crystal.

Properties
E, eV per atom: -6.19
ρ, g/cm³: 11.3
Symmetry: No. 198

The structure in POSCAR format:
```
FeSbPt
1.0
-1.401 1.552 5.646
-2.458 -5.425 0.881
5.314 -2.100 1.896
Pt Sb Fe
4 4 4
direct
0.751 0.751 0.751
0.249 0.251 0.749
0.749 0.249 0.251
0.251 0.749 0.249
0.749 0.251 0.751
0.751 0.749 0.251
0.251 0.751 0.749
0.249 0.249 0.249
0.000 0.500 0.500
0.500 0.500 0.000
0.000 0.000 0.000
0.500 0.000 0.500
```

Density functional theory data (GGA-PBE) for a relaxed Li2Nb2InGaIr2 crystal.

Properties
E, eV per atom: -6.43
ρ, g/cm³: 10.4
Symmetry: No. 115

The structure in POSCAR format:
```
Li2Nb2InGaIr2
1.0
-0.609 1.936 3.923
0.573 -3.891 2.010
6.170 1.118 0.406
Ir Nb Li Ga In
2 2 2 1 1
direct
0.000 0.500 0.240
0.500 0.000 0.760
0.000 0.000 0.500
0.500 0.500 0.000
0.000 0.500 0.762
0.500 0.000 0.238
0.000 0.000 0.000
0.500 0.500 0.500
```

Density functional theory data (GGA-PBE) for a relaxed Zr2BrF crystal.

Properties
E, eV per atom: -6.75
ρ, g/cm³: 5.5
Symmetry: No. 160

The structure in POSCAR format:
```
Zr2BrF
1.0
-5.766 -6.451 -0.526
-3.878 -7.459 2.113
-6.406 -5.238 2.582
Zr Br F
2 1 1
direct
0.127 0.127 0.127
0.887 0.887 0.887
0.384 0.384 0.384
0.602 0.602 0.602
```

Density functional theory data (GGA-PBE) for a relaxed Na4ZnSn2Pd crystal.

Properties
E, eV per atom: -2.65
ρ, g/cm³: 4.9
Symmetry: No. 115

The structure in POSCAR format:
```
Na4ZnSn2Pd
1.0
4.931 0.000 0.000
0.000 4.931 0.000
0.000 0.000 7.028
Na Sn Zn Pd
4 2 1 1
direct
0.000 0.000 0.500
0.500 0.500 0.000
0.000 0.500 0.746
0.500 0.000 0.254
0.000 0.500 0.259
0.500 0.000 0.741
0.000 0.000 0.000
0.500 0.500 0.500
```

Density functional theory data (GGA-PBE) for a relaxed Na2GaPt2 crystal.

Properties
E, eV per atom: -3.98
ρ, g/cm³: 8.4
Symmetry: No. 127

The structure in POSCAR format:
```
Na2GaPt2
1.0
6.362 0.000 0.000
0.000 6.362 0.000
0.000 0.000 4.953
Pt Na Ga
4 4 2
direct
0.357 0.857 0.000
0.143 0.357 0.000
0.857 0.643 0.000
0.643 0.143 0.000
0.668 0.832 0.500
0.832 0.332 0.500
0.168 0.668 0.500
0.332 0.168 0.500
0.500 0.500 0.000
0.000 0.000 0.000
```

Density functional theory data (GGA-PBE) for a relaxed ScZnCuRe crystal.

Properties
E, eV per atom: -5.68
ρ, g/cm³: 9.7
Symmetry: No. 216
Energy above the most stable polymorph in this dataset, eV/f.u.: 0.00
Formation energy, eV per atom: 0.26

The structure in POSCAR format:
```
ScZnCuRe
1.0
0.000 3.138 3.138
3.138 0.000 3.138
3.138 3.138 0.000
Zn Cu Sc Re
1 1 1 1
direct
0.000 0.000 0.000
0.750 0.750 0.750
0.500 0.500 0.500
0.250 0.250 0.250
```

Density functional theory data (GGA-PBE) for a relaxed NaZr3As5 crystal.

Properties
E, eV per atom: -6.10
ρ, g/cm³: 5.2
Symmetry: No. 191

The structure in POSCAR format:
```
NaZr3As5
1.0
6.216 0.000 0.000
-3.108 5.383 0.000
0.000 0.000 6.405
As Zr Na
5 3 1
direct
0.000 0.000 0.500
0.667 0.333 0.812
0.333 0.667 0.812
0.667 0.333 0.188
0.333 0.667 0.188
0.500 0.000 0.500
0.000 0.500 0.500
0.500 0.500 0.500
0.000 0.000 0.000
```

Density functional theory data (GGA-PBE) for a relaxed Nb4CoAsC2 crystal.

Properties
E, eV per atom: -9.20
ρ, g/cm³: 7.9
Symmetry: No. 187

The structure in POSCAR format:
```
Nb4CoAsC2
1.0
-0.955 0.503 3.023
-0.410 -2.881 -1.354
11.263 -3.554 4.152
C Nb Co As
2 4 1 1
direct
0.333 0.667 0.752
0.333 0.667 0.248
0.667 0.333 0.848
0.667 0.333 0.152
0.000 0.000 0.347
0.000 0.000 0.653
0.000 0.000 0.000
0.667 0.333 0.500
```

Density functional theory data (GGA-PBE) for a relaxed NdZn5 crystal.

Properties
E, eV per atom: -2.15
ρ, g/cm³: 7.5
Symmetry: No. 38
Formation energy, eV per atom: -0.30

The structure in POSCAR format:
```
NdZn5
1.0
-2.065 -3.931 2.993
0.311 -5.080 -1.664
3.695 -0.426 1.990
Nd Zn
1 5
direct
0.000 0.000 0.000
0.000 0.507 0.500
0.334 0.333 0.000
0.667 0.666 0.000
0.505 0.495 0.500
0.493 0.000 0.500
```

Density functional theory data (GGA-PBE) for a relaxed BeCuBiOs crystal.

Properties
E, eV per atom: -4.86
ρ, g/cm³: 12.6
Symmetry: No. 216
Energy above the most stable polymorph in this dataset, eV/f.u.: 0.34

The structure in POSCAR format:
```
BeCuBiOs
1.0
0.721 -3.961 1.879
-2.524 -3.481 -1.118
1.727 -3.317 -2.400
Be Bi Cu Os
1 1 1 1
direct
0.750 0.750 0.750
0.000 0.000 0.000
0.250 0.250 0.250
0.500 0.500 0.500
```

Density functional theory data (GGA-PBE) for a relaxed Pr3W2N6 crystal.

Properties
E, eV per atom: -9.24
ρ, g/cm³: 9.2
Symmetry: No. 139

The structure in POSCAR format:
```
Pr3W2N6
1.0
-6.241 -6.575 4.753
-9.404 -3.946 0.877
8.483 3.267 -4.706
Pr N W
3 6 2
direct
0.182 0.182 0.000
0.000 0.000 0.000
0.818 0.818 0.000
0.587 0.087 0.500
0.087 0.587 0.500
0.697 0.697 0.000
0.413 0.913 0.500
0.303 0.303 0.000
0.913 0.413 0.500
0.597 0.597 0.000
0.403 0.403 0.000
```

Density functional theory data (GGA-PBE) for a relaxed HfTlCuTc crystal.

Properties
E, eV per atom: -6.20
ρ, g/cm³: 12.7
Symmetry: No. 216
Energy above the most stable polymorph in this dataset, eV/f.u.: 0.72

The structure in POSCAR format:
```
HfTlCuTc
1.0
0.000 3.289 3.289
3.289 0.000 3.289
3.289 3.289 0.000
Hf Tc Cu Tl
1 1 1 1
direct
0.250 0.250 0.250
0.500 0.500 0.500
0.750 0.750 0.750
0.000 0.000 0.000
```

Density functional theory data (GGA-PBE) for a relaxed DySCl3 crystal.

Properties
E, eV per atom: -4.55
ρ, g/cm³: 2.7
Symmetry: No. 12
Energy above the most stable polymorph in this dataset, eV/f.u.: 0.00

The structure in POSCAR format:
```
DySCl3
1.0
-0.210 5.062 -4.696
-2.949 1.059 6.156
8.136 2.291 2.899
S Cl Dy
2 6 2
direct
0.385 0.385 0.546
0.615 0.615 0.454
0.144 0.521 0.171
0.856 0.479 0.829
0.096 0.096 0.832
0.904 0.904 0.168
0.521 0.144 0.171
0.479 0.856 0.829
0.830 0.170 0.000
0.170 0.830 0.000
```

Density functional theory data (GGA-PBE) for a relaxed AcEr2S4 crystal.

Properties
E, eV per atom: -6.36
ρ, g/cm³: 6.8
Symmetry: No. 63

The structure in POSCAR format:
```
AcEr2S4
1.0
1.984 -6.434 0.000
1.984 6.434 0.000
0.000 0.000 13.282
Ac S Er
2 8 4
direct
0.620 0.380 0.250
0.380 0.620 0.750
0.769 0.231 0.884
0.769 0.231 0.616
0.052 0.948 0.750
0.231 0.769 0.384
0.231 0.769 0.116
0.500 0.500 0.000
0.948 0.052 0.250
0.500 0.500 0.500
0.130 0.870 0.563
0.130 0.870 0.937
0.870 0.130 0.437
0.870 0.130 0.063
```

Density functional theory data (GGA-PBE) for a relaxed NdScBe2Ge2 crystal.

Properties
E, eV per atom: -5.25
ρ, g/cm³: 5.5
Symmetry: No. 164

The structure in POSCAR format:
```
NdScBe2Ge2
1.0
3.906 0.000 0.000
-1.953 3.382 0.000
0.000 0.000 7.985
Ge Nd Be Sc
2 1 2 1
direct
0.333 0.667 0.227
0.667 0.333 0.773
0.000 0.000 0.500
0.333 0.667 0.772
0.667 0.333 0.228
0.000 0.000 0.000
```

Density functional theory data (GGA-PBE) for a relaxed CsErBiTe3 crystal.

Properties
E, eV per atom: -3.91
ρ, g/cm³: 6.2
Symmetry: No. 63

The structure in POSCAR format:
```
CsErBiTe3
1.0
8.661 2.491 -2.093
-8.836 1.872 2.004
2.770 0.353 11.880
Te Cs Bi Er
6 2 2 2
direct
0.379 0.621 0.481
0.621 0.379 0.519
0.928 0.072 0.750
0.379 0.621 0.019
0.072 0.928 0.250
0.621 0.379 0.981
0.247 0.753 0.750
0.753 0.247 0.250
0.555 0.445 0.750
0.445 0.555 0.250
0.000 0.000 0.000
0.000 0.000 0.500
```